No. 1
# ZnCdTc2 (meta-GGA SCAN, single point on PBEsol structure)
data_ZnCdTc2
_chemical_formula_sum 'Zn3 Cd3 Tc6'
_cell_length_a 2.7772
_cell_length_b 2.7772
_cell_length_c 27.5382
_cell_angle_alpha 90.00
_cell_angle_beta 90.00
_cell_angle_gamma 120.00
_space_group_name_H-M_alt 'R 3 m'
_space_group_IT_number 160
_space_group_name_Hall 'R 3 -2"'
loop_
_atom_site_label
_atom_site_fract_x
_atom_site_fract_y
_atom_site_fract_z
Zn1 0.0000 0.0000 0.0000
Cd1 0.0000 0.0000 0.2421
Tc1 0.0000 0.0000 0.4849
Tc2 0.0000 0.0000 0.7460
# **ΔH_f (0 K)**: 0.078 eV per atom
# **Total magnetic moment**: 0.00 μB/atom
# **E**: -28.434 eV per atom
# **Density**: 10.12 Mg/m³

---

No. 2
# ZrCdTc3 (meta-GGA SCAN, single point on PBEsol structure)
data_ZrCdTc3
_chemical_formula_sum 'Zr1 Cd1 Tc3'
_cell_length_a 4.7046
_cell_length_b 4.7046
_cell_length_c 4.7046
_cell_angle_alpha 90.00
_cell_angle_beta 90.00
_cell_angle_gamma 90.00
_space_group_name_H-M_alt 'P m -3 m'
_space_group_IT_number 221
_space_group_name_Hall '-P 4 2 3'
loop_
_atom_site_label
_atom_site_fract_x
_atom_site_fract_y
_atom_site_fract_z
Zr1 0.0000 0.0000 0.0000
Cd1 0.5000 0.5000 0.5000
Tc1 0.0000 0.5000 0.5000
# **ΔH_f (0 K)**: 2.159 eV per atom
# **Total magnetic moment**: 0.67 μB/atom
# **E**: -31.100 eV per atom
# **Density**: 7.94 Mg/m³

---

No. 3
# Zr2Cd2Tc (meta-GGA SCAN, single point on PBEsol structure)
data_Zr2Cd2Tc
_chemical_formula_sum 'Zr4 Cd4 Tc2'
_cell_length_a 3.8425
_cell_length_b 3.8425
_cell_length_c 13.8350
_cell_angle_alpha 90.00
_cell_angle_beta 90.00
_cell_angle_gamma 90.00
_space_group_name_H-M_alt 'I 4/m m m'
_space_group_IT_number 139
_space_group_name_Hall '-I 4 2'
loop_
_atom_site_label
_atom_site_fract_x
_atom_site_fract_y
_atom_site_fract_z
Zr1 0.0000 0.5000 0.2500
Cd1 0.0000 0.0000 0.0913
Tc1 0.0000 0.0000 0.5000
# **ΔH_f (0 K)**: 0.720 eV per atom
# **Total magnetic moment**: 0.34 μB/atom
# **E**: -30.737 eV per atom
# **Density**: 8.21 Mg/m³

---

No. 4
# Cd2Te (meta-GGA SCAN, single point on PBEsol structure)
data_Cd2Te
_chemical_formula_sum 'Cd6 Te3'
_cell_length_a 4.2533
_cell_length_b 4.2533
_cell_length_c 15.4956
_cell_angle_alpha 90.00
_cell_angle_beta 90.00
_cell_angle_gamma 120.00
_space_group_name_H-M_alt 'R 3 m'
_space_group_IT_number 160
_space_group_name_Hall 'R 3 -2"'
loop_
_atom_site_label
_atom_site_fract_x
_atom_site_fract_y
_atom_site_fract_z
Cd1 0.0000 0.0000 0.0000
Cd2 0.0000 0.0000 0.2254
Te1 0.0000 0.0000 0.7782
# **Total magnetic moment**: 0.00 μB/atom
# **E**: -32.770 eV per atom
# **Density**: 7.23 Mg/m³
# **ΔE_f (raw)**: -0.077 eV/atom

---

No. 5
# Cd2Te (meta-GGA SCAN, single point on PBEsol structure)
data_Cd2Te
_chemical_formula_sum 'Cd4 Te2'
_cell_length_a 4.1894
_cell_length_b 4.1894
_cell_length_c 10.4703
_cell_angle_alpha 90.00
_cell_angle_beta 90.00
_cell_angle_gamma 120.00
_space_group_name_H-M_alt 'P 63/m m c'
_space_group_IT_number 194
_space_group_name_Hall '-P 6c 2c'
loop_
_atom_site_label
_atom_site_fract_x
_atom_site_fract_y
_atom_site_fract_z
Cd1 0.3333 0.6667 0.0832
Te1 0.0000 0.0000 0.2500
# **Total magnetic moment**: 0.00 μB/atom
# **E**: -32.805 eV per atom
# **Density**: 7.35 Mg/m³
# **ΔE_f (raw)**: -0.112 eV/atom

---

No. 6
# Cd2Te (meta-GGA SCAN, single point on PBEsol structure)
data_Cd2Te
_chemical_formula_sum 'Cd2 Te1'
_cell_length_a 4.1848
_cell_length_b 4.1848
_cell_length_c 5.1892
_cell_angle_alpha 90.00
_cell_angle_beta 90.00
_cell_angle_gamma 120.00
_space_group_name_H-M_alt 'P -3 m 1'
_space_group_IT_number 164
_space_group_name_Hall '-P 3 2"'
loop_
_atom_site_label
_atom_site_fract_x
_atom_site_fract_y
_atom_site_fract_z
Cd1 0.3333 0.6667 0.3324
Te1 0.0000 0.0000 0.0000
# **Total magnetic moment**: 0.00 μB/atom
# **E**: -32.820 eV per atom
# **Density**: 7.44 Mg/m³
# **ΔE_f (raw)**: -0.127 eV/atom

---

Question: Which value of E does entry 2 give?
Answer: -31.100 eV per atom